Here is a relaxed Dy3Lu crystal from Alexandria via LeMat-Bulk. Energies are from GGA-PBEsol.

a = 7.0280 Å, b = 7.0280 Å, c = 5.4840 Å
α = 90.00°, β = 90.00°, γ = 120.00°
Closest atoms and distances in Å follow each position.
Positions (direct):
Dy (0.1671, 0.3342, 0.2500)  4 Lu 3.41-3.51, 8 Dy 3.41-3.52
Dy (0.1671, 0.8329, 0.2500)  4 Lu 3.41-3.51, 8 Dy 3.41-3.52
Dy (0.3342, 0.1671, 0.7500)  4 Lu 3.41-3.51, 8 Dy 3.41-3.52
Dy (0.6658, 0.8329, 0.2500)  4 Lu 3.41-3.51, 8 Dy 3.41-3.52
Dy (0.8329, 0.1671, 0.7500)  4 Lu 3.41-3.51, 8 Dy 3.41-3.52
Dy (0.8329, 0.6658, 0.7500)  4 Lu 3.41-3.51, 8 Dy 3.41-3.52
Lu (0.3333, 0.6667, 0.7500)  12 Dy 3.41-3.51
Lu (0.6667, 0.3333, 0.2500)  12 Dy 3.41-3.51

Output
Calculated formation energy: 0.0093 eV/atom
E: -4.9427 eV/atom
Crystal system: hexagonal
Relative energy among the computed polymorphs: 0.000 eV per atom
Symmetry: P6_3/mmc, No. 194

=====

Here is a relaxed TeMo2W crystal from Alexandria via LeMat-Bulk. Energies are from GGA-PBEsol.

a = 6.4169 Å, b = 6.4169 Å, c = 6.4169 Å
α = 90.00°, β = 90.00°, γ = 90.00°
Closest atoms and distances in Å follow each position.
Positions (direct):
Te (0.0000, 0.0000, 0.0000)  4 Mo 2.78, 4 W 2.78
Te (0.0000, 0.5000, 0.5000)  4 Mo 2.78, 4 W 2.78
Te (0.5000, 0.0000, 0.5000)  4 Mo 2.78, 4 W 2.78
Te (0.5000, 0.5000, 0.0000)  4 Mo 2.78, 4 W 2.78
Mo (0.0000, 0.0000, 0.5000)  4 W 2.78, 4 Mo 2.78
Mo (0.0000, 0.5000, 0.0000)  4 W 2.78, 4 Mo 2.78
Mo (0.2500, 0.2500, 0.7500)  4 Mo 2.78, 4 Te 2.78
Mo (0.2500, 0.7500, 0.2500)  4 Mo 2.78, 4 Te 2.78
Mo (0.5000, 0.0000, 0.0000)  4 W 2.78, 4 Mo 2.78
Mo (0.5000, 0.5000, 0.5000)  4 W 2.78, 4 Mo 2.78
Mo (0.7500, 0.2500, 0.2500)  4 Mo 2.78, 4 Te 2.78
Mo (0.7500, 0.7500, 0.7500)  4 Mo 2.78, 4 Te 2.78
W (0.2500, 0.2500, 0.2500)  4 Mo 2.78, 4 Te 2.78
W (0.2500, 0.7500, 0.7500)  4 Mo 2.78, 4 Te 2.78
W (0.7500, 0.2500, 0.7500)  4 Mo 2.78, 4 Te 2.78
W (0.7500, 0.7500, 0.2500)  4 Mo 2.78, 4 Te 2.78

Output
E: -9.6207 eV/atom
Crystal system: cubic
Symmetry: F-43m, No. 216
Raw formation energy: 2.39 eV per formula unit